! BaAlAu2 GGA-PBE relaxed; values from VASP
! M_tot	0.0	μB per formula unit
! raw total energy	-3.22	eV/atom
&SYSTEM
  ibrav = 0, nat = 4, ntyp = 3
/
ATOMIC_SPECIES
Ba 137.33 Ba.upf
Al 26.98 Al.upf
Au 196.97 Au.upf
CELL_PARAMETERS angstrom
-2.286 2.286 4.934
2.286 -2.286 4.934
2.286 2.286 -4.934
ATOMIC_POSITIONS crystal
Ba 0.000 0.000 0.000
Al 0.250 0.750 0.500
Au 0.500 0.500 0.000
Au 0.750 0.250 0.500



! Ba2Al5Au3 GGA-PBE relaxed; values from VASP
! M_tot	0.0	μB per formula unit
! raw total energy	-3.76	eV/atom
&SYSTEM
  ibrav = 0, nat = 20, ntyp = 3
/
ATOMIC_SPECIES
Ba 137.33 Ba.upf
Al 26.98 Al.upf
Au 196.97 Au.upf
CELL_PARAMETERS angstrom
-5.489 6.472 3.274
5.489 -6.472 3.274
5.489 6.472 -3.274
ATOMIC_POSITIONS crystal
Ba 0.127 0.250 0.378
Ba 0.373 0.750 0.123
Ba 0.627 0.250 0.877
Ba 0.873 0.750 0.622
Al 0.006 0.250 0.756
Al 0.122 0.627 0.749
Al 0.250 0.250 0.000
Al 0.378 0.127 0.506
Al 0.494 0.250 0.244
Al 0.506 0.750 0.756
Al 0.622 0.873 0.494
Al 0.750 0.750 0.000
Al 0.878 0.373 0.251
Al 0.994 0.750 0.244
Au 0.122 0.873 0.996
Au 0.250 0.750 0.500
Au 0.378 0.373 0.751
Au 0.622 0.627 0.249
Au 0.750 0.250 0.500
Au 0.878 0.127 0.004



! BaAlAu4 GGA-PBE relaxed; values from VASP
! M_tot	0.0	μB per formula unit
! excess energy over the best structure of this formula in the dataset	1.50	eV per formula unit
! raw total energy	-3.38	eV/atom
&SYSTEM
  ibrav = 0, nat = 6, ntyp = 3
/
ATOMIC_SPECIES
Ba 137.33 Ba.upf
Al 26.98 Al.upf
Au 196.97 Au.upf
CELL_PARAMETERS angstrom
0.000 4.073 4.073
4.073 0.000 4.073
4.073 4.073 0.000
ATOMIC_POSITIONS crystal
Ba 0.000 0.000 0.000
Al 0.750 0.750 0.750
Au 0.376 0.376 0.376
Au 0.376 0.376 0.872
Au 0.376 0.872 0.376
Au 0.872 0.376 0.376



! BaAl12Au6 GGA-PBE relaxed; values from VASP
! M_tot	0.0	μB per formula unit
! raw total energy	-3.83	eV/atom
&SYSTEM
  ibrav = 0, nat = 19, ntyp = 3
/
ATOMIC_SPECIES
Ba 137.33 Ba.upf
Al 26.98 Al.upf
Au 196.97 Au.upf
CELL_PARAMETERS angstrom
6.287 3.630 2.822
-6.287 3.630 2.822
0.000 -7.259 2.822
ATOMIC_POSITIONS crystal
Ba 0.000 0.000 0.000
Al 0.159 0.461 0.461
Al 0.164 0.500 0.836
Al 0.164 0.836 0.500
Al 0.461 0.159 0.461
Al 0.461 0.461 0.159
Al 0.500 0.164 0.836
Al 0.500 0.836 0.164
Al 0.539 0.539 0.841
Al 0.539 0.841 0.539
Al 0.836 0.164 0.500
Al 0.836 0.500 0.164
Al 0.841 0.539 0.539
Au 0.197 0.197 0.583
Au 0.197 0.583 0.197
Au 0.417 0.803 0.803
Au 0.583 0.197 0.197
Au 0.803 0.417 0.803
Au 0.803 0.803 0.417



! Ba3AlAu3 GGA-PBE relaxed; values from VASP
! M_tot	0.0	μB per formula unit
! raw total energy	-3.40	eV/atom
&SYSTEM
  ibrav = 0, nat = 14, ntyp = 3
/
ATOMIC_SPECIES
Ba 137.33 Ba.upf
Al 26.98 Al.upf
Au 196.97 Au.upf
CELL_PARAMETERS angstrom
6.286 -2.322 0.000
6.286 2.322 0.000
-5.790 0.000 15.380
ATOMIC_POSITIONS crystal
Ba 0.016 0.016 0.389
Ba 0.098 0.098 0.920
Ba 0.241 0.241 0.232
Ba 0.759 0.759 0.768
Ba 0.902 0.902 0.080
Ba 0.984 0.984 0.611
Al 0.264 0.264 0.591
Al 0.736 0.736 0.409
Au 0.331 0.331 0.453
Au 0.386 0.386 0.923
Au 0.448 0.448 0.749
Au 0.552 0.552 0.251
Au 0.614 0.614 0.077
Au 0.669 0.669 0.547



! BaAlAu2 GGA-PBE relaxed; values from VASP
! M_tot	0.0	μB per formula unit
! raw total energy	-3.41	eV/atom
&SYSTEM
  ibrav = 0, nat = 4, ntyp = 3
/
ATOMIC_SPECIES
Ba 137.33 Ba.upf
Al 26.98 Al.upf
Au 196.97 Au.upf
CELL_PARAMETERS angstrom
3.821 0.000 0.000
0.000 3.821 0.000
0.000 0.000 7.069
ATOMIC_POSITIONS crystal
Ba 0.000 0.000 0.000
Al 0.500 0.500 0.371
Au 0.000 0.000 0.462
Au 0.500 0.500 0.731



! BaAlAu2 GGA-PBE relaxed; values from VASP
! M_tot	0.0	μB per formula unit
! raw total energy	-3.18	eV/atom
&SYSTEM
  ibrav = 0, nat = 4, ntyp = 3
/
ATOMIC_SPECIES
Ba 137.33 Ba.upf
Al 26.98 Al.upf
Au 196.97 Au.upf
CELL_PARAMETERS angstrom
0.000 3.667 3.667
3.667 0.000 3.667
3.667 3.667 0.000
ATOMIC_POSITIONS crystal
Ba 0.000 0.000 0.000
Al 0.250 0.250 0.250
Au 0.500 0.500 0.500
Au 0.750 0.750 0.750



! BaAlAu2 GGA-PBE relaxed; values from VASP
! M_tot	0.0	μB per formula unit
! raw total energy	-3.60	eV/atom
&SYSTEM
  ibrav = 0, nat = 4, ntyp = 3
/
ATOMIC_SPECIES
Ba 137.33 Ba.upf
Al 26.98 Al.upf
Au 196.97 Au.upf
CELL_PARAMETERS angstrom
4.525 0.000 0.000
0.000 3.491 3.654
0.000 -3.491 3.654
ATOMIC_POSITIONS crystal
Ba 0.000 0.000 0.000
Al 0.500 0.415 0.415
Au 0.500 0.509 0.918
Au 0.500 0.918 0.509



! Ba3Al4Au2 GGA-PBE relaxed; values from VASP
! M_tot	0.0	μB per formula unit
! raw total energy	-3.46	eV/atom
&SYSTEM
  ibrav = 0, nat = 9, ntyp = 3
/
ATOMIC_SPECIES
Ba 137.33 Ba.upf
Al 26.98 Al.upf
Au 196.97 Au.upf
CELL_PARAMETERS angstrom
6.331 -2.244 0.000
6.331 2.244 0.000
-3.161 0.000 9.236
ATOMIC_POSITIONS crystal
Ba 0.000 0.000 0.000
Ba 0.410 0.410 0.314
Ba 0.590 0.590 0.686
Al 0.165 0.165 0.431
Al 0.269 0.269 0.937
Al 0.731 0.731 0.063
Al 0.835 0.835 0.569
Au 0.314 0.314 0.697
Au 0.686 0.686 0.303



! BaAl3Au GGA-PBE relaxed; values from VASP
! M_tot	0.0	μB per formula unit
! raw total energy	-1.69	eV/atom
&SYSTEM
  ibrav = 0, nat = 5, ntyp = 3
/
ATOMIC_SPECIES
Ba 137.33 Ba.upf
Al 26.98 Al.upf
Au 196.97 Au.upf
CELL_PARAMETERS angstrom
6.088 0.000 0.000
0.000 6.088 0.000
0.000 0.000 6.088
ATOMIC_POSITIONS crystal
Ba 0.000 0.000 0.000
Al 0.000 0.000 0.500
Al 0.000 0.500 0.000
Al 0.500 0.000 0.000
Au 0.500 0.500 0.500



Calculated values (eV/atom) of formation energy from the elements for the records, taken in order: -0.16, -0.52, -0.25, -0.33, -0.64, -0.35, -0.13, -0.54, -0.42, 1.60.